Record 1
VASP calculation (GGA-PBE) on a relaxed structure of Tb6Nd2Y3Sc.

a b c (Å): 6.160 6.160 11.812
angles (deg): 94.97 94.97 119.98
Sites, in units of the cell vectors:
Tb 0.083 0.413 0.750
Tb 0.247 0.247 0.250
Tb 0.413 0.083 0.750
Tb 0.587 0.917 0.250
Tb 0.753 0.753 0.750
Tb 0.917 0.587 0.250
Nd 0.334 0.666 0.500
Nd 0.666 0.334 0.500
Y 0.166 0.834 0.000
Y 0.500 0.500 0.000
Y 0.834 0.166 0.000
Sc 0.000 0.000 0.500

Summary:
theoretical density: 6.7 g cm⁻³
total moment: 0.0 μB/f.u.
space group: No. 12
formation energy: 0.026 eV/atom
density of states at the Fermi level: 16.25 states/eV per cell
calculated total energy: -5.23 eV per atom



Record 2
VASP calculation (GGA-PBE) on a relaxed structure of TbNdY2Sc.

a b c (Å): 8.601 8.601 6.384
angles (deg): 90.00 90.00 136.37
Sites, in units of the cell vectors:
Tb 0.250 0.750 0.750
Tb 0.750 0.250 0.250
Nd 0.163 0.837 0.250
Nd 0.837 0.163 0.750
Y 0.251 0.251 0.000
Y 0.251 0.251 0.500
Y 0.749 0.749 0.000
Y 0.749 0.749 0.500
Sc 0.346 0.654 0.250
Sc 0.654 0.346 0.750

Summary:
theoretical density: 5.4 g cm⁻³
total moment: 0.0 μB/f.u.
space group: No. 63
formation energy: 0.367 eV/atom
density of states at the Fermi level: 16.44 states/eV per cell
calculated total energy: -5.36 eV per atom



Record 3
VASP calculation (GGA-PBE) on a relaxed structure of Tb2NdZrSc4.

a b c (Å): 4.817 4.817 9.315
angles (deg): 90.00 90.00 90.00
Sites, in units of the cell vectors:
Tb 0.000 0.000 0.000
Tb 0.500 0.500 0.500
Nd 0.000 0.000 0.500
Zr 0.500 0.500 0.000
Sc 0.000 0.500 0.237
Sc 0.000 0.500 0.763
Sc 0.500 0.000 0.237
Sc 0.500 0.000 0.763

Summary:
theoretical density: 5.6 g cm⁻³
total moment: 0.0 μB/f.u.
space group: No. 123
formation energy: 0.060 eV/atom
density of states at the Fermi level: 12.10 states/eV per cell
calculated total energy: -5.93 eV per atom



Record 4
VASP calculation (GGA-PBE) on a relaxed structure of NdScZnTc.

a b c (Å): 4.874 4.874 4.874
angles (deg): 60.00 60.00 60.00
Sites, in units of the cell vectors:
Nd 0.000 0.000 0.000
Sc 0.500 0.500 0.500
Zn 0.250 0.250 0.250
Tc 0.750 0.750 0.750

Summary:
theoretical density: 7.2 g cm⁻³
total moment: 0.0 μB/f.u.
space group: No. 216
formation energy: -0.091 eV/atom
density of states at the Fermi level: 2.46 states/eV per cell
calculated total energy: -5.78 eV per atom



Record 5
VASP calculation (GGA-PBE) on a relaxed structure of Nd2ScTe.

a b c (Å): 4.052 4.052 7.243
angles (deg): 90.00 90.00 90.00
Sites, in units of the cell vectors:
Nd 0.000 0.000 0.242
Nd 0.000 0.000 0.758
Sc 0.500 0.500 0.500
Te 0.500 0.500 0.000

Summary:
theoretical density: 6.4 g cm⁻³
total moment: 0.0 μB/f.u.
space group: No. 123
E above lowest polymorph: 0 meV per atom
formation energy without anion corrections: -2.26 eV per formula unit
density of states at the Fermi level: 4.88 states/eV per cell
calculated total energy: -5.32 eV per atom



Record 6
VASP calculation (GGA-PBE) on a relaxed structure of Nd2ScTe.

a b c (Å): 9.763 9.763 9.763
angles (deg): 23.51 23.51 23.51
Sites, in units of the cell vectors:
Nd 0.243 0.243 0.243
Nd 0.757 0.757 0.757
Sc 0.000 0.000 0.000
Te 0.500 0.500 0.500

Summary:
theoretical density: 5.9 g cm⁻³
total moment: 0.5 μB/f.u.
space group: No. 166
E above lowest polymorph: 100 meV per atom
formation energy without anion corrections: -1.86 eV per formula unit
density of states at the Fermi level: 4.46 states/eV per cell
calculated total energy: -5.22 eV per atom



Record 7
VASP calculation (GGA-PBE) on a relaxed structure of Nd3ScTe4.

a b c (Å): 7.695 7.695 4.374
angles (deg): 90.00 90.00 108.90
Sites, in units of the cell vectors:
Nd 0.000 0.000 0.000
Nd 0.000 0.500 0.500
Nd 0.500 0.000 0.500
Sc 0.500 0.500 0.000
Te 0.259 0.741 0.000
Te 0.268 0.268 0.500
Te 0.732 0.732 0.500
Te 0.741 0.259 0.000

Summary:
theoretical density: 6.7 g cm⁻³
total moment: 0.0 μB/f.u.
space group: No. 65
E above lowest polymorph: 0 meV per atom
formation energy without anion corrections: -10.57 eV per formula unit
density of states at the Fermi level: 5.33 states/eV per cell
calculated total energy: -5.47 eV per atom



Record 8
VASP calculation (GGA-PBE) on a relaxed structure of NdSc2Te4.

a b c (Å): 7.200 7.200 14.498
angles (deg): 90.00 90.00 145.99
Sites, in units of the cell vectors:
Nd 0.124 0.876 0.750
Nd 0.876 0.124 0.250
Sc 0.371 0.629 0.565
Sc 0.371 0.629 0.935
Sc 0.629 0.371 0.065
Sc 0.629 0.371 0.435
Te 0.000 0.000 0.000
Te 0.000 0.000 0.500
Te 0.272 0.728 0.115
Te 0.272 0.728 0.385
Te 0.451 0.549 0.750
Te 0.549 0.451 0.250
Te 0.728 0.272 0.615
Te 0.728 0.272 0.885

Summary:
theoretical density: 5.9 g cm⁻³
total moment: 0.0 μB/f.u.
space group: No. 63
E above lowest polymorph: 17 meV per atom
formation energy without anion corrections: -8.96 eV per formula unit
density of states at the Fermi level: 6.35 states/eV per cell
calculated total energy: -5.56 eV per atom



density of states at the Fermi level of number 8 (NdSc2Te4)?
6.35 states/eV per cell



The highest total moment belongs to which entry?
number 6



Among the records above, which one has the highest theoretical density?
NdScZnTc